The following is a DFT calculation (PBE with a Hubbard U) of a relaxed structure of BaNi2As2O8.

Results
- total DFT energy (no corrections) (hartree per atom) = -0.217

Cell: 8.554 8.554 8.554 Å, 34.14 34.14 34.14°
Element x y z (fractional)
1 Ba 0.000 0.000 0.000
2 Ni 0.169 0.169 0.169
3 Ni 0.831 0.831 0.831
4 As 0.428 0.428 0.428
5 As 0.572 0.572 0.572
6 O 0.123 0.440 0.785
7 O 0.215 0.877 0.560
8 O 0.358 0.358 0.358
9 O 0.440 0.785 0.123
10 O 0.560 0.215 0.877
11 O 0.642 0.642 0.642
12 O 0.785 0.123 0.440
13 O 0.877 0.560 0.215